Record 1
PBE Ce2Co12P7, relaxed; Fermi-level density of states = 0.79 states/eV/atom; DFT formation energy = -1573 kJ/mol of formula units; total magnetic moment = 4.44 Bohr magnetons per cell
1.0
9.049 0.000 0.000
-4.524 7.836 0.000
0.000 0.000 3.617
Ce Co P
2 12 7
direct
0.000 0.000 0.000 Ce
0.333 0.667 0.500 Ce
0.042 0.770 0.500 Co
0.102 0.389 0.000 Co
0.230 0.272 0.500 Co
0.287 0.898 0.000 Co
0.431 0.227 0.000 Co
0.516 0.062 0.500 Co
0.546 0.484 0.500 Co
0.611 0.713 0.000 Co
0.728 0.958 0.500 Co
0.773 0.204 0.000 Co
0.796 0.569 0.000 Co
0.938 0.454 0.500 Co
0.064 0.626 0.000 P
0.266 0.041 0.500 P
0.374 0.438 0.000 P
0.562 0.936 0.000 P
0.667 0.333 0.500 P
0.775 0.734 0.500 P
0.959 0.225 0.500 P

---

Record 2
PBE CeCo12P6, relaxed; Fermi-level density of states = 1.08 states/eV/atom; DFT formation energy = -1029 kJ/mol of formula units; total magnetic moment = 4.35 Bohr magnetons per cell
1.0
5.110 2.950 2.551
-5.110 2.950 2.551
0.000 -5.900 2.551
Ce Co P
1 12 6
direct
0.000 0.000 0.000 Ce
0.130 0.500 0.870 Co
0.130 0.870 0.500 Co
0.186 0.444 0.444 Co
0.444 0.186 0.444 Co
0.444 0.444 0.186 Co
0.500 0.130 0.870 Co
0.500 0.870 0.130 Co
0.556 0.556 0.814 Co
0.556 0.814 0.556 Co
0.814 0.556 0.556 Co
0.870 0.130 0.500 Co
0.870 0.500 0.130 Co
0.239 0.239 0.680 P
0.239 0.680 0.239 P
0.320 0.761 0.761 P
0.680 0.239 0.239 P
0.761 0.320 0.761 P
0.761 0.761 0.320 P

---

> Which value of Fermi-level density of states does entry 1 give?

0.79 states/eV/atom

---

> Among the records above, which one has the highest DFT formation energy?

CeCo12P6

---

> Which value of DFT formation energy does entry 1 give?

-1573 kJ/mol of formula units

---

Please write out number 2 again, unchanged.
PBE CeCo12P6, relaxed; Fermi-level density of states = 1.08 states/eV/atom; DFT formation energy = -1029 kJ/mol of formula units; total magnetic moment = 4.35 Bohr magnetons per cell
1.0
5.110 2.950 2.551
-5.110 2.950 2.551
0.000 -5.900 2.551
Ce Co P
1 12 6
direct
0.000 0.000 0.000 Ce
0.130 0.500 0.870 Co
0.130 0.870 0.500 Co
0.186 0.444 0.444 Co
0.444 0.186 0.444 Co
0.444 0.444 0.186 Co
0.500 0.130 0.870 Co
0.500 0.870 0.130 Co
0.556 0.556 0.814 Co
0.556 0.814 0.556 Co
0.814 0.556 0.556 Co
0.870 0.130 0.500 Co
0.870 0.500 0.130 Co
0.239 0.239 0.680 P
0.239 0.680 0.239 P
0.320 0.761 0.761 P
0.680 0.239 0.239 P
0.761 0.320 0.761 P
0.761 0.761 0.320 P